SrTi2CdHg: relaxed, PBE-GGA.

Formation energy (eV/atom): 1.682
M_tot (μB per cell): 1.8
Space-group type: No. 123
VASP energy (eV per atom): -2.06

a = 5.0289 Å, b = 5.6219 Å, c = 5.0289 Å
α = 90.00°, β = 90.00°, γ = 90.00°
Last column: nearest neighbours and their distance in Å.
Positions (direct):
1 Sr 0.0000 0.0000 0.0000  4 Ti 2.51, 2 Cd 2.81
2 Cd 0.0000 0.5000 0.0000  2 Sr 2.81
3 Ti 0.0000 0.0000 0.5000  2 Sr 2.51
4 Hg 0.5000 0.5000 0.5000  4 Cd 3.56, 8 Ti 3.77
5 Ti 0.5000 0.0000 0.0000  2 Sr 2.51

=====

LaGd2Dy: relaxed, PBE-GGA.

Formation energy (eV/atom): 0.026
M_tot (μB per cell): 14.8
Energy relative to the lowest polymorph listed for this composition (meV/atom): 0
Space-group type: No. 123
VASP energy (eV per atom): -9.40

a = 5.1255 Å, b = 5.1023 Å, c = 5.1023 Å
α = 90.00°, β = 90.00°, γ = 90.00°
Last column: nearest neighbours and their distance in Å.
Positions (direct):
1 Dy 0.5000 0.5000 0.5000  4 La 3.61, 8 Gd 3.62
2 Gd 0.0000 0.5000 0.0000  4 Gd 3.61, 4 La 3.62, 4 Dy 3.62
3 Gd 0.0000 0.0000 0.5000  4 Gd 3.61, 4 Dy 3.62, 4 La 3.62
4 La 0.5000 0.0000 0.0000  4 Dy 3.61, 8 Gd 3.62

=====

KTiSb2I: relaxed, PBE-GGA.

E_form (uncorrected) (eV per atom): 1.34
M_tot (μB per cell): 0.3
Energy relative to the lowest polymorph listed for this composition (meV/atom): 1718
Space-group type: No. 123
VASP energy (eV per atom): -2.41

a = 5.8009 Å, b = 5.8009 Å, c = 5.9095 Å
α = 90.00°, β = 90.00°, γ = 90.00°
Last column: nearest neighbours and their distance in Å.
Positions (direct):
1 Ti 0.5000 0.5000 0.5000  4 I 4.10, 8 Sb 4.14
2 K 0.0000 0.0000 0.0000  4 Sb 2.90, 2 I 2.95
3 I 0.0000 0.0000 0.5000  2 K 2.95
4 Sb 0.0000 0.5000 0.0000  2 K 2.90
5 Sb 0.5000 0.0000 0.0000  2 K 2.90

=====

HoB3W: relaxed, PBE-GGA.

Formation energy (eV/atom): -0.458
M_tot (μB per cell): 0.0
Space-group type: No. 63
VASP energy (eV per atom): -7.97

a = 3.5203 Å, b = 3.1804 Å, c = 10.0746 Å
α = 90.00°, β = 100.06°, γ = 90.00°
Last column: nearest neighbours and their distance in Å.
Positions (direct):
1 B 0.6725 0.2500 0.3450  2 B 1.86
2 Ho 0.0737 0.2500 0.1474  12 B 2.57-2.63
3 B 0.3275 0.7500 0.6550  2 B 1.86
4 B 0.6238 0.7500 0.2475  3 B 1.86-2.00
5 B 0.4773 0.2500 0.9545  3 B 1.83-2.00
6 B 0.5227 0.7500 0.0455  3 B 1.83-2.00
7 Ho 0.9263 0.7500 0.8526  12 B 2.57-2.63
8 W 0.7927 0.2500 0.5854  7 B 2.38-2.47
9 W 0.2073 0.7500 0.4146  7 B 2.38-2.47
10 B 0.3762 0.2500 0.7525  3 B 1.86-2.00

=====

AlSbMo2: relaxed, PBE-GGA.

E_form (uncorrected) (eV per atom): 0.30
M_tot (μB per cell): 0.0
Energy relative to the lowest polymorph listed for this composition (meV/atom): 351
Space-group type: No. 216
VASP energy (eV per atom): -7.09

a = 4.5985 Å, b = 4.5985 Å, c = 4.5985 Å
α = 60.00°, β = 60.00°, γ = 60.00°
Last column: nearest neighbours and their distance in Å.
Positions (direct):
1 Mo 0.0000 0.0000 0.0000  4 Mo 2.82, 4 Sb 2.82
2 Al 0.5000 0.5000 0.5000  4 Mo 2.82, 4 Sb 2.82
3 Mo 0.2500 0.2500 0.2500  4 Al 2.82, 4 Mo 2.82
4 Sb 0.7500 0.7500 0.7500  4 Mo 2.82, 4 Al 2.82

=====

Pu3PO3: relaxed, PBE-GGA.

E_form (uncorrected) (eV per atom): -2.46
M_tot (μB per cell): 30.0
Space-group type: No. 148
VASP energy (eV per atom): -11.50

a = 6.6915 Å, b = 6.6915 Å, c = 7.7115 Å
α = 64.29°, β = 64.29°, γ = 60.00°
Last column: nearest neighbours and their distance in Å.
Positions (direct):
1 Pu 0.7445 0.4450 0.7193  4 O 2.29-2.34
2 O 0.4387 0.8014 0.6313  4 Pu 2.29-2.34
3 P 0.6666 0.6666 0.0002  6 Pu 2.86-2.88
4 Pu 0.0912 0.7445 0.7193  4 O 2.29-2.34
5 O 0.1986 0.8714 0.3687  4 Pu 2.29-2.34
6 O 0.5613 0.1986 0.3687  4 Pu 2.29-2.34
7 P 0.3334 0.3334 0.9998  6 Pu 2.86-2.88
8 Pu 0.5550 0.9088 0.2807  4 O 2.29-2.34
9 O 0.1286 0.4387 0.6313  4 Pu 2.29-2.34
10 Pu 0.9088 0.2555 0.2807  4 O 2.29-2.34
11 O 0.8714 0.5613 0.3687  4 Pu 2.29-2.34
12 Pu 0.4450 0.0912 0.7193  4 O 2.29-2.34
13 Pu 0.2555 0.5550 0.2807  4 O 2.29-2.34
14 O 0.8014 0.1286 0.6313  4 Pu 2.29-2.34

=====

Computed values of calculated density (unit: Mg/m³) for the preceding records, in sequence: 5.80; 7.66; 3.82; 11.40; 8.23; 10.41.